# TiV3O8 (PBE+U, relaxed)
# Space group   P1, No. 1
# Raw total energy   -8.0586 eV/atom
data_TiV3O8
_chemical_formula_sum 'Ti1 V3 O8'
_cell_length_a 6.449
_cell_length_b 6.416
_cell_length_c 6.518
_cell_angle_alpha 73.98
_cell_angle_beta 105.96
_cell_angle_gamma 145.71
_space_group_name_H-M_alt 'P 1'
_space_group_IT_number 1
loop_
_space_group_symop_operation_xyz
'x,y,z'
loop_
_atom_site_label
_atom_site_type_symbol
_atom_site_fract_x
_atom_site_fract_y
_atom_site_fract_z
_atom_site_occupancy
O1 O 0.241 0.763 0.347 1
O2 O 0.565 0.450 0.364 1
O3 O 0.868 0.131 0.296 1
O4 O 0.368 0.634 0.993 1
O5 O 0.762 0.246 0.650 1
O6 O 0.644 0.369 0.003 1
O7 O 0.146 0.867 0.708 1
O8 O 0.445 0.557 0.626 1
V1 V 0.356 0.559 0.305 1
V2 V 0.303 0.704 0.724 1
V3 V 0.608 0.410 0.702 1
Ti1 Ti 0.694 0.311 0.283 1